This record from Alexandria via LeMat-Bulk describes a relaxed HfHg crystal. The functional is GGA-PBE.

Properties
As for the formation enthalpy at 0 K: 17 kJ per mole of atoms. Its total moment is 0.00 μB/f.u.

CIF file:
```
data_HfHg
_chemical_formula_sum 'Hf6 Hg6'
_space_group_name_H-M_alt 'P 63/m'
_space_group_IT_number 176
_space_group_name_Hall '-P 6c'
_cell_length_a 10.1909
_cell_length_b 10.1909
_cell_length_c 3.1101
_cell_angle_alpha 90.00
_cell_angle_beta 90.00
_cell_angle_gamma 120.00
loop_
_atom_site_label
_atom_site_fract_x
_atom_site_fract_y
_atom_site_fract_z
_atom_site_occupancy
Hf1 0.1375 0.5997 0.2500 1
Hg1 0.1139 0.3156 0.7500 1
```